1.
Below is a relaxed NaErTl2 crystal, with properties calculated at the GGA-PBE level.

Unit cell a=3.6001 b=3.6001 c=31.0135 alpha=90.00 beta=90.00 gamma=120.00
Closest atoms and distances in Å follow each position.
Fractional positions:
Na: 0.0000 0.0000 0.0000  6 Tl 3.34, 6 Na 3.60
Na: 0.3333 0.6667 0.6667  6 Tl 3.34, 6 Na 3.60
Na: 0.6667 0.3333 0.3333  6 Tl 3.34, 6 Na 3.60
Er: 0.0000 0.0000 0.5000  6 Tl 3.29, 6 Er 3.60
Er: 0.3333 0.6667 0.1667  6 Tl 3.29, 6 Er 3.60
Er: 0.6667 0.3333 0.8333  6 Tl 3.29, 6 Er 3.60
Tl: 0.0000 0.0000 0.2490  3 Er 3.29, 3 Na 3.34, 6 Tl 3.60
Tl: 0.0000 0.0000 0.7510  3 Er 3.29, 3 Na 3.34, 6 Tl 3.60
Tl: 0.3333 0.6667 0.4177  3 Er 3.29, 3 Na 3.34, 6 Tl 3.60
Tl: 0.3333 0.6667 0.9157  3 Er 3.29, 3 Na 3.34, 6 Tl 3.60
Tl: 0.6667 0.3333 0.0843  3 Er 3.29, 3 Na 3.34, 6 Tl 3.60
Tl: 0.6667 0.3333 0.5823  3 Er 3.29, 3 Na 3.34, 6 Tl 3.60

## Properties
The value obtained for the total energy is -2.75 eV/atom. Its energy above the most stable polymorph in this dataset is 0.139 eV per atom. The density of states at the Fermi level is 9.87 states/eV per cell. The mass density is 8.572 g/cm3.



2.
Below is a relaxed NaErTl4 crystal, with properties calculated at the GGA-PBE level.

Unit cell a=3.7145 b=5.1541 c=8.9031 alpha=90.00 beta=91.20 gamma=90.00
Closest atoms and distances in Å follow each position.
Fractional positions:
Na: 0.0000 0.0000 0.0000  8 Tl 3.24-3.48
Er: 0.0868 0.5000 0.4313  9 Tl 3.21-3.59
Tl: 0.2231 0.0000 0.6505  6 Tl 3.21-3.57, 1 Na 3.24, 2 Er 3.27
Tl: 0.4769 0.5000 0.1134  3 Tl 3.15-3.28, 1 Er 3.21, 4 Na 3.27-3.39
Tl: 0.6190 0.0000 0.3338  4 Tl 3.21-3.57, 4 Er 3.22-3.37, 1 Na 3.32
Tl: 0.6820 0.5000 0.7714  5 Tl 3.15-3.45, 1 Er 3.41, 2 Na 3.48

## Properties
The value obtained for the total energy is -2.68 eV/atom. Its energy above the most stable polymorph in this dataset is 0.000 eV per atom. The density of states at the Fermi level is 2.05 states/eV per cell. The mass density is 9.820 g/cm3.



3.
Below is a relaxed NaEr5Tl8 crystal, with properties calculated at the GGA-PBE level.

Unit cell a=7.9888 b=7.9888 c=7.9888 alpha=109.20 beta=109.20 gamma=110.02
Closest atoms and distances in Å follow each position.
Fractional positions:
Na: 0.0000 0.0000 0.0000  8 Tl 3.16-3.22
Er: 0.2713 0.1773 0.6661  8 Tl 3.10-3.36
Er: 0.3948 0.7287 0.9060  8 Tl 3.10-3.36
Er: 0.5112 0.6052 0.3339  8 Tl 3.10-3.36
Er: 0.7500 0.2500 0.5000  8 Tl 3.12-3.29
Er: 0.8227 0.4888 0.0940  8 Tl 3.10-3.36
Tl: 0.0916 0.3771 0.9237  5 Er 3.10-3.19, 1 Na 3.16, 2 Tl 3.40-3.42
Tl: 0.1267 0.3976 0.4009  1 Na 3.22, 5 Er 3.26-3.36, 3 Tl 3.27-3.42
Tl: 0.2742 0.8733 0.2709  1 Na 3.22, 5 Er 3.26-3.36, 3 Tl 3.27-3.42
Tl: 0.4534 0.1679 0.0763  5 Er 3.10-3.19, 1 Na 3.16, 2 Tl 3.40-3.42
Tl: 0.6024 0.0033 0.7291  1 Na 3.22, 5 Er 3.26-3.36, 3 Tl 3.27-3.42
Tl: 0.6229 0.5466 0.7145  5 Er 3.10-3.19, 1 Na 3.16, 2 Tl 3.40-3.42
Tl: 0.8321 0.9084 0.2855  5 Er 3.10-3.19, 1 Na 3.16, 2 Tl 3.40-3.42
Tl: 0.9967 0.7258 0.5991  1 Na 3.22, 5 Er 3.26-3.36, 3 Tl 3.27-3.42

## Properties
The value obtained for the total energy is -3.25 eV/atom. The density of states at the Fermi level is 8.64 states/eV per cell. The mass density is 10.554 g/cm3.



4.
Below is a relaxed NaEr4Tl5 crystal, with properties calculated at the GGA-PBE level.

Unit cell a=3.7327 b=3.7327 c=19.3822 alpha=90.00 beta=90.00 gamma=90.00
Closest atoms and distances in Å follow each position.
Fractional positions:
Na: 0.0000 0.0000 0.0000  8 Tl 3.33, 4 Na 3.73
Er: 0.0000 0.0000 0.1999  8 Tl 3.22-3.29
Er: 0.0000 0.0000 0.4001  8 Tl 3.26-3.27
Er: 0.0000 0.0000 0.5999  8 Tl 3.26-3.27
Er: 0.0000 0.0000 0.8001  8 Tl 3.22-3.29
Tl: 0.5000 0.5000 0.1050  4 Er 3.22, 4 Na 3.33
Tl: 0.5000 0.5000 0.3016  8 Er 3.26-3.29
Tl: 0.5000 0.5000 0.5000  8 Er 3.27
Tl: 0.5000 0.5000 0.6984  8 Er 3.26-3.29
Tl: 0.5000 0.5000 0.8950  4 Er 3.22, 4 Na 3.33

## Properties
The value obtained for the total energy is -3.41 eV/atom. The density of states at the Fermi level is 6.69 states/eV per cell. The mass density is 10.539 g/cm3.



5.
Below is a relaxed NaEr2Tl4 crystal, with properties calculated at the GGA-PBE level.

Unit cell a=7.4427 b=7.4427 c=7.3545 alpha=90.00 beta=90.00 gamma=90.00
Closest atoms and distances in Å follow each position.
Fractional positions:
Na: 0.0000 0.0000 0.0000  8 Tl 3.21
Na: 0.5000 0.5000 0.5000  8 Tl 3.21
Er: 0.0000 0.5000 0.0000  8 Tl 3.21
Er: 0.0000 0.5000 0.5000  8 Tl 3.21
Er: 0.5000 0.0000 0.0000  8 Tl 3.21
Er: 0.5000 0.0000 0.5000  8 Tl 3.21
Tl: 0.2500 0.2500 0.2500  2 Na 3.21, 4 Er 3.21
Tl: 0.2500 0.2500 0.7500  4 Er 3.21, 2 Na 3.21
Tl: 0.2500 0.7500 0.2500  2 Na 3.21, 4 Er 3.21
Tl: 0.2500 0.7500 0.7500  2 Na 3.21, 4 Er 3.21
Tl: 0.7500 0.2500 0.2500  2 Na 3.21, 4 Er 3.21
Tl: 0.7500 0.2500 0.7500  2 Na 3.21, 4 Er 3.21
Tl: 0.7500 0.7500 0.2500  2 Na 3.21, 4 Er 3.21
Tl: 0.7500 0.7500 0.7500  4 Er 3.21, 2 Na 3.21

## Properties
The value obtained for the total energy is -3.02 eV/atom. The density of states at the Fermi level is 7.00 states/eV per cell. The mass density is 9.579 g/cm3.



6.
Below is a relaxed NaErTl2 crystal, with properties calculated at the GGA-PBE level.

Unit cell a=5.2788 b=5.2788 c=3.8179 alpha=90.00 beta=90.00 gamma=90.00
Closest atoms and distances in Å follow each position.
Fractional positions:
Na: 0.0000 0.0000 0.0000  8 Tl 3.26
Er: 0.5000 0.5000 0.0000  8 Tl 3.26
Tl: 0.0000 0.5000 0.5000  4 Na 3.26, 4 Er 3.26
Tl: 0.5000 0.0000 0.5000  4 Na 3.26, 4 Er 3.26

## Properties
The value obtained for the total energy is -2.89 eV/atom. Its energy above the most stable polymorph in this dataset is 0.000 eV per atom. The density of states at the Fermi level is 2.15 states/eV per cell. The mass density is 9.350 g/cm3.



7.
Below is a relaxed Na2Er2Tl7 crystal, with properties calculated at the GGA-PBE level.

Unit cell a=6.6851 b=6.6851 c=8.6148 alpha=90.00 beta=90.00 gamma=118.54
Closest atoms and distances in Å follow each position.
Fractional positions:
Na: 0.2332 0.7668 0.0000  7 Tl 3.07-3.22
Na: 0.7668 0.2332 0.0000  7 Tl 3.07-3.22
Er: 0.2503 0.2503 0.5000  6 Tl 3.20-3.28, 2 Er 3.41-3.42
Er: 0.7497 0.7497 0.5000  6 Tl 3.20-3.28, 2 Er 3.41-3.42
Tl: 0.0000 0.0000 0.1863  2 Na 3.12, 2 Er 3.20, 1 Tl 3.21
Tl: 0.0000 0.0000 0.8137  2 Na 3.12, 2 Er 3.20, 1 Tl 3.21
Tl: 0.0000 0.5000 0.3167  5 Tl 3.16-3.53, 2 Na 3.22, 2 Er 3.28
Tl: 0.0000 0.5000 0.6833  5 Tl 3.16-3.53, 2 Na 3.22, 2 Er 3.28
Tl: 0.5000 0.0000 0.3167  5 Tl 3.16-3.53, 2 Na 3.22, 2 Er 3.28
Tl: 0.5000 0.0000 0.6833  5 Tl 3.16-3.53, 2 Na 3.22, 2 Er 3.28
Tl: 0.5000 0.5000 0.0000  2 Na 3.07

## Properties
The value obtained for the total energy is -2.50 eV/atom. The density of states at the Fermi level is 8.12 states/eV per cell. The mass density is 8.892 g/cm3.



8.
Below is a relaxed Na2ErTl crystal, with properties calculated at the GGA-PBE level.

Unit cell a=3.4105 b=3.4105 c=37.2666 alpha=90.00 beta=90.00 gamma=120.00
Closest atoms and distances in Å follow each position.
Fractional positions:
Na: 0.0000 0.0000 0.0909  1 Er 3.39, 6 Na 3.41, 3 Tl 3.44
Na: 0.0000 0.0000 0.9091  1 Er 3.39, 6 Na 3.41, 3 Tl 3.44
Na: 0.3333 0.6667 0.5758  1 Er 3.39, 6 Na 3.41, 3 Tl 3.44
Na: 0.3333 0.6667 0.7575  1 Er 3.39, 6 Na 3.41, 3 Tl 3.44
Na: 0.6667 0.3333 0.2425  1 Er 3.39, 6 Na 3.41, 3 Tl 3.44
Na: 0.6667 0.3333 0.4242  1 Er 3.39, 6 Na 3.41, 3 Tl 3.44
Er: 0.0000 0.0000 0.0000  2 Na 3.39, 6 Er 3.41
Er: 0.3333 0.6667 0.6667  2 Na 3.39, 6 Er 3.41
Er: 0.6667 0.3333 0.3333  2 Na 3.39, 6 Er 3.41
Tl: 0.0000 0.0000 0.5000  6 Tl 3.41, 6 Na 3.44
Tl: 0.3333 0.6667 0.1667  6 Tl 3.41, 6 Na 3.44
Tl: 0.6667 0.3333 0.8333  6 Tl 3.41, 6 Na 3.44

## Properties
The value obtained for the total energy is -2.22 eV/atom. The density of states at the Fermi level is 7.79 states/eV per cell. The mass density is 5.542 g/cm3.



9.
Below is a relaxed Na5ErTl6 crystal, with properties calculated at the GGA-PBE level.

Unit cell a=5.2484 b=7.9716 c=8.2871 alpha=90.00 beta=108.33 gamma=90.00
Closest atoms and distances in Å follow each position.
Fractional positions:
Na: 0.0000 0.0000 0.0000  8 Tl 3.30-3.33
Na: 0.3291 0.0000 0.6614  8 Tl 3.30-3.36, 2 Na 3.64-3.66
Na: 0.3291 0.5000 0.6618  8 Tl 3.26-3.29
Na: 0.6709 0.0000 0.3386  8 Tl 3.30-3.36, 2 Na 3.64-3.66
Na: 0.6709 0.5000 0.3382  8 Tl 3.26-3.29
Er: 0.0000 0.5000 0.0000  8 Tl 3.25-3.26
Tl: 0.1679 0.2553 0.3304  1 Er 3.25, 7 Na 3.26-3.33
Tl: 0.1679 0.7447 0.3304  1 Er 3.25, 7 Na 3.26-3.33
Tl: 0.5000 0.2564 0.0000  2 Er 3.26, 6 Na 3.29-3.36
Tl: 0.5000 0.7436 0.0000  2 Er 3.26, 6 Na 3.29-3.36
Tl: 0.8321 0.2553 0.6696  1 Er 3.25, 7 Na 3.26-3.33
Tl: 0.8321 0.7447 0.6696  1 Er 3.25, 7 Na 3.26-3.33

## Properties
The value obtained for the total energy is -2.24 eV/atom. The density of states at the Fermi level is 5.26 states/eV per cell. The mass density is 7.611 g/cm3.



10.
Below is a relaxed NaErTl6 crystal, with properties calculated at the GGA-PBE level.

Unit cell a=4.8028 b=4.8028 c=9.6434 alpha=90.00 beta=90.00 gamma=90.00
Closest atoms and distances in Å follow each position.
Fractional positions:
Na: 0.0000 0.0000 0.0000  12 Tl 3.40-3.43
Er: 0.0000 0.0000 0.5000  12 Tl 3.38-3.40
Tl: 0.0000 0.5000 0.2539  8 Tl 3.38-3.43, 2 Er 3.38, 2 Na 3.43
Tl: 0.0000 0.5000 0.7461  8 Tl 3.38-3.43, 2 Er 3.38, 2 Na 3.43
Tl: 0.5000 0.0000 0.2539  8 Tl 3.38-3.43, 2 Er 3.38, 2 Na 3.43
Tl: 0.5000 0.0000 0.7461  8 Tl 3.38-3.43, 2 Er 3.38, 2 Na 3.43
Tl: 0.5000 0.5000 0.0000  4 Na 3.40, 8 Tl 3.43
Tl: 0.5000 0.5000 0.5000  8 Tl 3.38, 4 Er 3.40

## Properties
The value obtained for the total energy is -2.61 eV/atom. The density of states at the Fermi level is 3.69 states/eV per cell. The mass density is 10.575 g/cm3.



11.
Below is a relaxed NaErTl2 crystal, with properties calculated at the GGA-PBE level.

Unit cell a=3.6248 b=3.6248 c=30.5462 alpha=90.00 beta=90.00 gamma=120.00
Closest atoms and distances in Å follow each position.
Fractional positions:
Na: 0.0000 0.0000 0.0000  6 Tl 3.31-3.32, 6 Na 3.62
Na: 0.3333 0.6667 0.6667  6 Tl 3.31-3.32, 6 Na 3.62
Na: 0.6667 0.3333 0.3333  6 Tl 3.31-3.32, 6 Na 3.62
Er: 0.0000 0.0000 0.1669  6 Tl 3.28, 6 Er 3.62
Er: 0.3333 0.6667 0.8335  6 Tl 3.28, 6 Er 3.62
Er: 0.6667 0.3333 0.5002  6 Tl 3.28, 6 Er 3.62
Tl: 0.0000 0.0000 0.5829  3 Er 3.28, 3 Na 3.31, 6 Tl 3.62
Tl: 0.0000 0.0000 0.7509  3 Er 3.28, 3 Na 3.32, 6 Tl 3.62
Tl: 0.3333 0.6667 0.2495  3 Er 3.28, 3 Na 3.31, 6 Tl 3.62
Tl: 0.3333 0.6667 0.4175  3 Er 3.28, 3 Na 3.32, 6 Tl 3.62
Tl: 0.6667 0.3333 0.0842  3 Er 3.28, 3 Na 3.32, 6 Tl 3.62
Tl: 0.6667 0.3333 0.9162  3 Er 3.28, 3 Na 3.31, 6 Tl 3.62

## Properties
The value obtained for the total energy is -2.76 eV/atom. Its energy above the most stable polymorph in this dataset is 0.129 eV per atom. The density of states at the Fermi level is 9.04 states/eV per cell. The mass density is 8.585 g/cm3.



12.
Below is a relaxed Na3ErTl4 crystal, with properties calculated at the GGA-PBE level.

Unit cell a=7.6340 b=7.6079 c=8.4064 alpha=90.00 beta=116.89 gamma=90.00
Closest atoms and distances in Å follow each position.
Fractional positions:
Na: 0.0000 0.0000 0.0000  8 Tl 3.24-3.25
Na: 0.2482 0.5000 0.4964  8 Tl 3.30-3.33
Na: 0.2518 0.0000 0.5036  8 Tl 3.30-3.33
Na: 0.5000 0.5000 0.0000  8 Tl 3.24-3.25
Na: 0.7482 0.0000 0.4964  8 Tl 3.30-3.33
Na: 0.7518 0.5000 0.5036  8 Tl 3.30-3.33
Er: 0.0000 0.5000 0.0000  8 Tl 3.24-3.25
Er: 0.5000 0.0000 0.0000  8 Tl 3.24-3.25
Tl: 0.1287 0.2499 0.7581  6 Na 3.24-3.33, 2 Er 3.24-3.25, 1 Tl 3.63
Tl: 0.1287 0.7501 0.7581  6 Na 3.24-3.33, 2 Er 3.24-3.25, 1 Tl 3.63
Tl: 0.3713 0.2501 0.2419  6 Na 3.24-3.33, 2 Er 3.24-3.25, 1 Tl 3.63
Tl: 0.3713 0.7499 0.2419  6 Na 3.24-3.33, 2 Er 3.24-3.25, 1 Tl 3.63
Tl: 0.6287 0.2501 0.7581  6 Na 3.24-3.33, 2 Er 3.24-3.25, 1 Tl 3.63
Tl: 0.6287 0.7499 0.7581  6 Na 3.24-3.33, 2 Er 3.24-3.25, 1 Tl 3.63
Tl: 0.8713 0.2499 0.2419  6 Na 3.24-3.33, 2 Er 3.24-3.25, 1 Tl 3.63
Tl: 0.8713 0.7501 0.2419  6 Na 3.24-3.33, 2 Er 3.24-3.25, 1 Tl 3.63

## Properties
The value obtained for the total energy is -2.40 eV/atom. The density of states at the Fermi level is 7.52 states/eV per cell. The mass density is 8.037 g/cm3.



Number 1: ΔE_f -0.097 eV per atom. Number 2: ΔE_f -0.123 eV per atom. Number 3: ΔE_f -0.176 eV per atom. Number 4: ΔE_f -0.270 eV per atom. Number 5: ΔE_f -0.176 eV per atom. Number 6: ΔE_f -0.236 eV per atom. Number 7: ΔE_f 0.074 eV per atom. Number 8: ΔE_f 0.167 eV per atom. Number 9: ΔE_f -0.131 eV per atom. Number 10: ΔE_f -0.103 eV per atom. Number 11: ΔE_f -0.106 eV per atom. Number 12: ΔE_f -0.154 eV per atom.